Entry 1:
A geometry-optimized ZnAu structure, computed with GGA-PBEsol.

Results
Total moment: 0.00 μB/cell
Formation enthalpy at 0 K: -0.4 eV per formula unit
Space group: No. 57

```
24
Lattice="-4.260 -2.580 -2.134 4.628 -3.357 -5.178 1.322 -6.811 5.596" Properties=species:S:1:pos:R:3 pbc="T T T"
Au 4.629 -8.488 1.022
Au -0.111 -5.088 -3.944
Au 0.168 -7.981 -1.002
Au 1.801 -7.660 2.227
Au 2.500 -9.778 -0.045
Au -0.810 -2.969 -1.671
Au -2.454 -4.717 0.284
Au 1.522 -4.766 -0.715
Au -1.517 -8.088 2.489
Au 1.320 -1.679 -0.604
Au 3.206 -4.659 -4.206
Au 4.144 -8.030 -2.001
Zn 1.959 -4.971 2.101
Zn 1.625 -3.166 -2.856
Zn 3.991 -5.196 -1.683
Zn 0.064 -9.582 1.139
Zn 0.376 -6.973 4.241
Zn -0.171 -6.261 1.033
Zn 1.861 -6.486 -2.750
Zn 1.313 -5.775 -5.957
Zn -0.914 -5.706 -1.593
Zn 2.604 -7.041 -0.124
Zn 1.765 -9.268 -2.635
Zn -0.075 -3.480 0.918
```

Entry 2:
A geometry-optimized Zn5Au structure, computed with GGA-PBEsol.

Results
Total moment: 0.00 μB/cell
Formation enthalpy at 0 K: -0.6 eV per formula unit
Space group: No. 38

```
6
Lattice="2.795 0.000 0.000 0.000 4.372 0.000 -1.398 0.000 7.087" Properties=species:S:1:pos:R:3 pbc="T T T"
Zn 0.000 2.186 6.251
Zn 1.398 0.000 2.387
Zn 0.000 0.000 4.687
Zn 1.398 2.186 3.931
Zn 0.000 2.186 1.624
Au 0.000 0.000 0.018
```

Entry 3:
A geometry-optimized ZnAu2 structure, computed with GGA-PBEsol.

Results
Total moment: 0.00 μB/cell
Formation enthalpy at 0 K: -0.5 eV per formula unit
Space group: No. 189

```
9
Lattice="-2.108 -0.989 1.978 -3.660 -3.204 -5.504 5.170 -3.738 3.640" Properties=species:S:1:pos:R:3 pbc="T T T"
Au 1.064 -4.891 -1.313
Au 2.199 -2.847 3.280
Au -1.082 -0.947 -1.627
Au -3.357 -2.511 -2.475
Au 1.528 -1.105 1.076
Au -0.494 -3.069 0.298
Zn -0.717 -3.382 -2.456
Zn 2.227 -3.560 0.592
Zn -1.054 -0.495 0.989
```

Entry 4:
A geometry-optimized Zn3Au5 structure, computed with GGA-PBEsol.

Results
Total moment: 0.00 μB/cell
Relative energy among the computed polymorphs: 58 meV per atom
Formation enthalpy at 0 K: -1.0 eV per formula unit
Space group: No. 193

```
16
Lattice="-0.612 3.805 3.606 -7.012 1.128 -2.381 1.352 -4.952 5.455" Properties=species:S:1:pos:R:3 pbc="T T T"
Au -4.224 -0.899 0.231
Au -4.530 1.004 2.034
Au -4.842 -0.107 5.085
Au -1.430 0.089 1.595
Au -1.742 -1.023 4.646
Au -0.154 1.737 3.935
Au -5.583 1.825 -0.942
Au 0.894 -2.884 5.126
Au -2.041 3.108 2.167
Au -1.436 -2.925 2.843
Zn 0.390 -1.039 3.094
Zn -3.538 -1.335 2.740
Zn -2.735 1.317 3.940
Zn -4.652 3.528 1.281
Zn -2.972 1.405 -0.056
Zn 0.349 -0.107 5.966
```

Entry 5:
A geometry-optimized Zn5Au structure, computed with GGA-PBEsol.

Results
Total moment: 0.00 μB/cell
Formation enthalpy at 0 K: -0.5 eV per formula unit
Space group: No. 65

```
6
Lattice="3.768 0.000 0.000 0.000 3.898 0.000 0.000 1.949 5.874" Properties=species:S:1:pos:R:3 pbc="T T T"
Zn 1.884 0.000 0.000
Zn 1.884 1.949 2.027
Zn 0.000 1.949 3.905
Zn 0.000 3.898 1.969
Zn 1.884 3.898 3.848
Au 0.000 1.949 0.000
```

Entry 6:
A geometry-optimized Zn8Au structure, computed with GGA-PBEsol.

Results
Total moment: 0.00 μB/cell
Formation enthalpy at 0 K: -0.4 eV per formula unit
Space group: No. 139

```
9
Lattice="-1.065 -1.786 3.246 -4.030 -4.346 -1.424 3.786 -4.680 0.956" Properties=species:S:1:pos:R:3 pbc="T T T"
Zn -0.788 -4.222 1.996
Zn 0.934 -2.179 1.397
Zn 1.788 -4.288 2.806
Zn -3.375 -4.067 1.234
Zn 1.156 -4.567 0.155
Zn -0.520 -6.589 0.782
Zn -1.720 -2.065 0.589
Zn -1.400 -4.458 -0.623
Au 0.000 0.000 0.000
```

Entry 7:
A geometry-optimized ZnAu5 structure, computed with GGA-PBEsol.

Results
Total moment: 0.00 μB/cell
Formation enthalpy at 0 K: -0.5 eV per formula unit
Space group: No. 189

```
6
Lattice="4.671 0.000 0.000 0.000 4.940 0.000 0.000 -2.470 4.278" Properties=species:S:1:pos:R:3 pbc="T T T"
Au 2.336 0.000 2.852
Au 0.000 0.809 1.401
Au 0.000 3.321 0.000
Au 0.000 -1.661 2.876
Au 2.336 2.470 1.426
Zn 2.336 0.000 0.000
```

Entry 8:
A geometry-optimized Zn5Au4 structure, computed with GGA-PBEsol.

Results
Total moment: 0.00 μB/cell
Relative energy among the computed polymorphs: 16 meV per atom
Formation enthalpy at 0 K: -1.6 eV per formula unit
Space group: No. 139

```
9
Lattice="-3.096 -2.439 0.011 0.065 -3.290 -5.261 1.716 -5.352 2.630" Properties=species:S:1:pos:R:3 pbc="T T T"
Zn -2.019 -3.822 -3.506
Zn -0.916 -5.199 1.764
Zn -1.012 -1.908 -1.744
Zn -0.464 -2.592 0.877
Zn 0.000 0.000 0.000
Au 0.235 -6.676 -1.793
Au -1.550 -4.406 -0.827
Au 1.193 -4.699 0.129
Au 0.589 -3.944 -2.759
```

Entry 9:
A geometry-optimized ZnAu structure, computed with GGA-PBEsol.

Results
Total moment: 0.00 μB/cell
Formation enthalpy at 0 K: -0.3 eV per formula unit
Space group: No. 8

```
6
Lattice="2.991 0.000 0.000 -1.495 5.367 0.075 0.000 -1.655 5.724" Properties=species:S:1:pos:R:3 pbc="T T T"
Au 1.495 1.239 2.057
Au 0.000 3.699 1.435
Au 0.000 2.581 4.130
Zn 0.000 0.185 0.125
Zn 1.495 0.689 5.278
Zn 0.000 -0.559 3.367
```

Entry 10:
A geometry-optimized Zn5Au structure, computed with GGA-PBEsol.

Results
Total moment: 0.00 μB/cell
Formation enthalpy at 0 K: -0.2 eV per formula unit
Space group: No. 123

```
6
Lattice="-0.495 2.732 -0.461 -2.654 -0.602 -0.717 -3.103 1.207 10.480" Properties=species:S:1:pos:R:3 pbc="T T T"
Zn -4.168 2.074 8.170
Zn -2.084 1.263 1.132
Zn -2.096 0.815 7.078
Zn 0.000 0.000 0.000
Zn -1.007 0.392 3.402
Au -3.126 1.668 4.651
```

Entry 11:
A geometry-optimized Zn2Au3 structure, computed with GGA-PBEsol.

Results
Total moment: 0.00 μB/cell
Relative energy among the computed polymorphs: 86 meV per atom
Formation enthalpy at 0 K: -0.6 eV per formula unit
Space group: No. 164

```
5
Lattice="4.300 0.000 0.000 -2.150 3.724 0.000 0.000 0.000 5.275" Properties=species:S:1:pos:R:3 pbc="T T T"
Zn 2.150 1.241 0.897
Zn 0.000 2.482 4.378
Au 0.000 2.482 1.806
Au 0.000 0.000 0.000
Au 2.150 1.241 3.470
```

Entry 12:
A geometry-optimized ZnAu5 structure, computed with GGA-PBEsol.

Results
Total moment: 0.00 μB/cell
Formation enthalpy at 0 K: -0.4 eV per formula unit
Space group: No. 2

```
6
Lattice="-1.527 -2.114 -1.430 0.295 -3.278 4.732 -4.248 4.159 1.435" Properties=species:S:1:pos:R:3 pbc="T T T"
Au -4.255 -0.733 4.201
Au -4.431 0.977 1.782
Au -1.225 -0.500 0.535
Au -1.049 -2.210 2.954
Au -1.977 0.441 3.083
Zn -2.124 2.080 0.717
```